# 1
La2PrSmHo, optimized geometry, DFT PBE-GGA; calculated formation energy = 207.1 meV per atom; symmetry = No. 51; total moment = 0.00 μB per cell
1.0
6.5332 0.0000 0.0000
0.0000 7.9417 0.0000
0.0000 0.0000 6.8584
La Pr Sm Ho
4 2 2 2
direct
0.2500 0.2054 0.2097 La
0.2500 0.7946 0.2097 La
0.7500 0.2054 0.7903 La
0.7500 0.7946 0.7903 La
0.2500 0.0000 0.6878 Pr
0.7500 0.0000 0.3122 Pr
0.2500 0.5000 0.9088 Sm
0.7500 0.5000 0.0912 Sm
0.0000 0.5000 0.5000 Ho
0.5000 0.5000 0.5000 Ho

# 2
LaPr2SmHo, optimized geometry, DFT PBE-GGA; calculated formation energy = 261.3 meV per atom; symmetry = No. 13; total moment = 0.00 μB per cell
1.0
8.5715 0.0000 0.0000
0.0000 6.6242 0.0000
-0.5740 0.0000 6.3308
La Pr Sm Ho
2 4 2 2
direct
0.0000 0.0000 0.0000 La
0.0000 0.0000 0.5000 La
0.3112 0.3097 0.2202 Pr
0.3112 0.6903 0.7202 Pr
0.6888 0.3097 0.2798 Pr
0.6888 0.6903 0.7798 Pr
0.0000 0.4353 0.7500 Sm
0.0000 0.5647 0.2500 Sm
0.5000 0.1646 0.7500 Ho
0.5000 0.8354 0.2500 Ho

# 3
La2Pr6SmHo3, optimized geometry, DFT PBE-GGA; calculated formation energy = 17.9 meV per atom; symmetry = No. 12; total moment = 0.00 μB per cell
1.0
3.1826 -5.5172 0.0000
3.1826 5.5172 0.0000
-2.1245 0.0000 11.9019
La Pr Sm Ho
2 6 1 3
direct
0.1666 0.8334 0.0000 La
0.8334 0.1666 0.0000 La
0.0819 0.4147 0.7445 Pr
0.2524 0.2524 0.2556 Pr
0.4147 0.0819 0.7445 Pr
0.5853 0.9181 0.2555 Pr
0.7476 0.7476 0.7444 Pr
0.9181 0.5853 0.2555 Pr
0.5000 0.5000 0.0000 Sm
0.0000 0.0000 0.5000 Ho
0.3336 0.6664 0.5000 Ho
0.6664 0.3336 0.5000 Ho

# 4
La2Pr2Sm2Ho, optimized geometry, DFT PBE-GGA; calculated formation energy = 20.8 meV per atom; symmetry = No. 12; total moment = 0.00 μB per cell
1.0
5.7952 -2.6024 0.0000
5.7952 2.6024 0.0000
-1.1859 0.0000 8.1499
La Pr Sm Ho
2 2 2 1
direct
0.1422 0.1422 0.4254 La
0.8578 0.8578 0.5746 La
0.2854 0.2854 0.8596 Pr
0.7146 0.7146 0.1404 Pr
0.4299 0.4299 0.2839 Sm
0.5701 0.5701 0.7161 Sm
0.0000 0.0000 0.0000 Ho

# 5
LaPr6Sm2Ho, optimized geometry, DFT PBE-GGA; calculated formation energy = 109.3 meV per atom; symmetry = No. 15; total moment = 0.00 μB per cell
1.0
4.6863 -7.7357 0.0000
4.6863 7.7357 0.0000
-1.3725 0.0000 9.8291
La Pr Sm Ho
2 12 4 2
direct
0.0228 0.9772 0.7500 La
0.9772 0.0228 0.2500 La
0.0116 0.5655 0.6867 Pr
0.1170 0.7499 0.0545 Pr
0.2501 0.8830 0.4455 Pr
0.2972 0.5072 0.8817 Pr
0.4345 0.9884 0.8133 Pr
0.4928 0.7028 0.6183 Pr
0.5072 0.2972 0.3817 Pr
0.5655 0.0116 0.1867 Pr
0.7028 0.4928 0.1183 Pr
0.7499 0.1170 0.5545 Pr
0.8830 0.2501 0.9455 Pr
0.9884 0.4345 0.3133 Pr
0.1979 0.2962 0.5460 Sm
0.2962 0.1979 0.0460 Sm
0.7038 0.8021 0.9540 Sm
0.8021 0.7038 0.4540 Sm
0.4090 0.5910 0.2500 Ho
0.5910 0.4090 0.7500 Ho

# 6
SrLaPrHo, optimized geometry, DFT PBE-GGA; calculated formation energy = 194.6 meV per atom; symmetry = No. 216; total moment = 0.00 μB per cell
1.0
0.0000 4.2477 4.2477
4.2477 0.0000 4.2477
4.2477 4.2477 0.0000
Sr La Pr Ho
1 1 1 1
direct
0.0000 0.0000 0.0000 Sr
0.2500 0.2500 0.2500 La
0.7500 0.7500 0.7500 Pr
0.5000 0.5000 0.5000 Ho